# 1
# LiPa2GeN6 | the Alexandria database | GGA-PBE | optimized geometry
# Formation energy (no corrections)   -51 kJ per mole of atoms
# Space-group type   P2_1/c, No. 14
# Calculated volume   11.7 Å³ per atom
data_LiPa2GeN6
_chemical_formula_sum 'Li2 Pa4 Ge2 N12'
_symmetry_space_group_name_H-M 'P 1'
_symmetry_Int_Tables_number 1
_cell_length_a 5.435
_cell_length_b 5.802
_cell_length_c 9.204
_cell_angle_alpha 90.00
_cell_angle_beta 126.03
_cell_angle_gamma 90.00
loop_
_symmetry_equiv_pos_as_xyz
'x,y,z'
loop_
_atom_site_label
_atom_site_type_symbol
_atom_site_fract_x
_atom_site_fract_y
_atom_site_fract_z
Li1 Li 0.000 0.000 0.000
Li2 Li 0.000 0.500 0.500
Pa1 Pa 0.268 0.084 0.749
Pa2 Pa 0.268 0.416 0.249
Pa3 Pa 0.732 0.584 0.751
Pa4 Pa 0.732 0.916 0.251
Ge1 Ge 0.500 0.000 0.500
Ge2 Ge 0.500 0.500 0.000
N1 N 0.132 0.068 0.257
N2 N 0.132 0.432 0.757
N3 N 0.237 0.660 0.056
N4 N 0.237 0.840 0.556
N5 N 0.410 0.190 0.066
N6 N 0.410 0.310 0.566
N7 N 0.590 0.690 0.434
N8 N 0.590 0.810 0.934
N9 N 0.763 0.160 0.444
N10 N 0.763 0.340 0.944
N11 N 0.868 0.568 0.243
N12 N 0.868 0.932 0.743

# 2
# RuPtF3 | the Alexandria database | GGA-PBE | optimized geometry
# Formation energy (no corrections)   -18 kJ per mole of atoms
# Space-group type   Pm-3m, No. 221
# Calculated volume   14.5 Å³ per atom
# Relative energy among the computed polymorphs   0 meV/atom
data_RuPtF3
_chemical_formula_sum 'Ru1 Pt1 F3'
_symmetry_space_group_name_H-M 'P 1'
_symmetry_Int_Tables_number 1
_cell_length_a 4.172
_cell_length_b 4.172
_cell_length_c 4.172
_cell_angle_alpha 90.00
_cell_angle_beta 90.00
_cell_angle_gamma 90.00
loop_
_symmetry_equiv_pos_as_xyz
'x,y,z'
loop_
_atom_site_label
_atom_site_type_symbol
_atom_site_fract_x
_atom_site_fract_y
_atom_site_fract_z
Ru1 Ru 0.000 0.000 0.000
Pt1 Pt 0.500 0.500 0.500
F1 F 0.000 0.000 0.500
F2 F 0.000 0.500 0.000
F3 F 0.500 0.000 0.000

# 3
# V2Pd3 | the Alexandria database | GGA-PBE | optimized geometry
# Space-group type   Fddd, No. 70
# ΔH_f (0 K)   0.080 eV/atom
# Calculated volume   15.4 Å³ per atom
data_V2Pd3
_chemical_formula_sum 'V8 Pd12'
_symmetry_space_group_name_H-M 'P 1'
_symmetry_Int_Tables_number 1
_cell_length_a 9.653
_cell_length_b 9.258
_cell_length_c 6.115
_cell_angle_alpha 74.67
_cell_angle_beta 67.67
_cell_angle_gamma 37.66
loop_
_symmetry_equiv_pos_as_xyz
'x,y,z'
loop_
_atom_site_label
_atom_site_type_symbol
_atom_site_fract_x
_atom_site_fract_y
_atom_site_fract_z
V1 V 0.054 0.054 0.196
V2 V 0.081 0.081 0.669
V3 V 0.196 0.196 0.054
V4 V 0.331 0.331 0.919
V5 V 0.669 0.669 0.081
V6 V 0.804 0.804 0.946
V7 V 0.919 0.919 0.331
V8 V 0.946 0.946 0.804
Pd1 Pd 0.009 0.411 0.722
Pd2 Pd 0.196 0.554 0.554
Pd3 Pd 0.278 0.643 0.991
Pd4 Pd 0.357 0.722 0.411
Pd5 Pd 0.411 0.009 0.357
Pd6 Pd 0.446 0.804 0.804
Pd7 Pd 0.554 0.196 0.196
Pd8 Pd 0.589 0.991 0.643
Pd9 Pd 0.643 0.278 0.589
Pd10 Pd 0.722 0.357 0.009
Pd11 Pd 0.804 0.446 0.446
Pd12 Pd 0.991 0.589 0.278

# 4
# BaPrCdGe | the Alexandria database | GGA-PBE | optimized geometry
# Space-group type   F-43m, No. 216
# ΔH_f (0 K)   -0.335 eV/atom
# Calculated volume   30.8 Å³ per atom
data_BaPrCdGe
_chemical_formula_sum 'Ba1 Pr1 Cd1 Ge1'
_symmetry_space_group_name_H-M 'P 1'
_symmetry_Int_Tables_number 1
_cell_length_a 5.586
_cell_length_b 5.586
_cell_length_c 5.586
_cell_angle_alpha 60.00
_cell_angle_beta 60.00
_cell_angle_gamma 60.00
loop_
_symmetry_equiv_pos_as_xyz
'x,y,z'
loop_
_atom_site_label
_atom_site_type_symbol
_atom_site_fract_x
_atom_site_fract_y
_atom_site_fract_z
Ba1 Ba 0.000 0.000 0.000
Pr1 Pr 0.500 0.500 0.500
Cd1 Cd 0.750 0.750 0.750
Ge1 Ge 0.250 0.250 0.250

# 5
# TbHo3Tl4S8 | the Alexandria database | GGA-PBE | optimized geometry
# Formation energy (no corrections)   -144 kJ per mole of atoms
# Space-group type   R-3m, No. 166
# Calculated volume   26.3 Å³ per atom
data_TbHo3Tl4S8
_chemical_formula_sum 'Tb1 Ho3 Tl4 S8'
_symmetry_space_group_name_H-M 'P 1'
_symmetry_Int_Tables_number 1
_cell_length_a 8.840
_cell_length_b 8.840
_cell_length_c 8.840
_cell_angle_alpha 54.12
_cell_angle_beta 54.12
_cell_angle_gamma 54.12
loop_
_symmetry_equiv_pos_as_xyz
'x,y,z'
loop_
_atom_site_label
_atom_site_type_symbol
_atom_site_fract_x
_atom_site_fract_y
_atom_site_fract_z
Tb1 Tb 0.000 0.000 0.000
Ho1 Ho 0.000 0.500 0.500
Ho2 Ho 0.500 0.000 0.500
Ho3 Ho 0.500 0.500 0.000
Tl1 Tl 0.000 0.000 0.500
Tl2 Tl 0.000 0.500 0.000
Tl3 Tl 0.500 0.000 0.000
Tl4 Tl 0.500 0.500 0.500
S1 S 0.234 0.234 0.730
S2 S 0.234 0.730 0.234
S3 S 0.268 0.268 0.268
S4 S 0.270 0.766 0.766
S5 S 0.730 0.234 0.234
S6 S 0.732 0.732 0.732
S7 S 0.766 0.270 0.766
S8 S 0.766 0.766 0.270

# 6
# DyMgGe | the Alexandria database | GGA-PBE | optimized geometry
# Space-group type   P3m1, No. 156
# ΔH_f (0 K)   -0.456 eV/atom
# Calculated volume   22.3 Å³ per atom
data_DyMgGe
_chemical_formula_sum 'Dy1 Mg1 Ge1'
_symmetry_space_group_name_H-M 'P 1'
_symmetry_Int_Tables_number 1
_cell_length_a 4.519
_cell_length_b 4.519
_cell_length_c 3.779
_cell_angle_alpha 90.00
_cell_angle_beta 90.00
_cell_angle_gamma 120.00
loop_
_symmetry_equiv_pos_as_xyz
'x,y,z'
loop_
_atom_site_label
_atom_site_type_symbol
_atom_site_fract_x
_atom_site_fract_y
_atom_site_fract_z
Dy1 Dy 0.000 0.000 0.000
Mg1 Mg 0.333 0.667 0.501
Ge1 Ge 0.667 0.333 0.492

Repeat the second record exactly.
# RuPtF3 | the Alexandria database | GGA-PBE | optimized geometry
# Formation energy (no corrections)   -18 kJ per mole of atoms
# Space-group type   Pm-3m, No. 221
# Calculated volume   14.5 Å³ per atom
# Relative energy among the computed polymorphs   0 meV/atom
data_RuPtF3
_chemical_formula_sum 'Ru1 Pt1 F3'
_symmetry_space_group_name_H-M 'P 1'
_symmetry_Int_Tables_number 1
_cell_length_a 4.172
_cell_length_b 4.172
_cell_length_c 4.172
_cell_angle_alpha 90.00
_cell_angle_beta 90.00
_cell_angle_gamma 90.00
loop_
_symmetry_equiv_pos_as_xyz
'x,y,z'
loop_
_atom_site_label
_atom_site_type_symbol
_atom_site_fract_x
_atom_site_fract_y
_atom_site_fract_z
Ru1 Ru 0.000 0.000 0.000
Pt1 Pt 0.500 0.500 0.500
F1 F 0.000 0.000 0.500
F2 F 0.000 0.500 0.000
F3 F 0.500 0.000 0.000